1.
Be3SiF SCAN PBEsol geometry; calculated total energy = -5.1908 eV per atom; V = 51 Å³/f.u.; formation energy from raw total energies = 0.132 eV/atom
1.0
-1.5402 0.3797 -3.3634
2.9661 -1.6289 -1.5422
-1.6307 -3.3214 0.3718
Si Be F
1 3 1
Cartesian
-0.1024 -2.2853 -2.2669 Si
-0.7701 0.1899 -1.6817 Be
-0.8153 -1.6607 0.1859 Be
1.4830 -0.8144 -0.7711 Be
0.0000 0.0000 0.0000 F

2.
BeSiF2 SCAN PBEsol geometry; calculated total energy = -6.7418 eV per atom; V = 62 Å³/f.u.; formation energy from raw total energies = -1.379 eV/atom
1.0
2.7679 0.0000 0.0000
1.3840 2.3971 0.0000
1.3840 0.7990 9.3380
F Be Si
2 1 1
Cartesian
4.1519 2.3971 1.3799 F
1.3840 0.7990 7.9581 F
0.0000 0.0000 0.0000 Be
2.7679 1.5981 4.6690 Si

3.
BeZnSn2F SCAN PBEsol geometry; calculated total energy = -19.1041 eV per atom; V = 89 Å³/f.u.; formation energy from raw total energies = -0.454 eV/atom
1.0
-0.4491 0.6187 -3.1049
5.0219 -1.3126 -0.9879
-1.4657 -5.0150 -0.7873
Zn Sn F Be
1 2 1 1
Cartesian
1.5536 -2.8545 -2.4400 Zn
-0.7328 -2.5075 -0.3936 Sn
2.5110 -0.6563 -0.4940 Sn
-0.2245 0.3093 -1.5524 F
0.0000 0.0000 0.0000 Be

4.
SrBeF2 SCAN PBEsol geometry; calculated total energy = -10.8207 eV per atom; V = 70 Å³/f.u.; formation energy from raw total energies = -2.394 eV/atom
1.0
4.1242 0.0000 0.0000
2.0621 3.5717 0.0000
2.0621 1.1906 4.7226
Be F Sr
1 2 1
Cartesian
0.0000 0.0000 0.0000 Be
2.0621 1.1906 3.1393 F
6.1863 3.5717 1.5833 F
4.1242 2.3811 2.3613 Sr